1.
CsNpAlTe4 | PBE-GGA | relaxed

a b c (Å): 7.164 7.513 10.578
angles (deg): 90.00 109.26 90.00
Space group P2_1/m (No. 11)
Unique sites:
Cs  0.183  0.250  0.452
Np  0.327  0.750  0.051
Al  0.115  0.250  0.842
Te  0.122  0.250  0.088
Te  0.245  0.750  0.323
Te  0.331  0.515  0.801

Output
- Formation energy without anion corrections: -15.522 kcal/mol of atoms

***

2.
Cs5AlO4 | PBE-GGA | relaxed

a b c (Å): 8.228 9.315 7.788
angles (deg): 90.00 90.00 90.00
Space group Pmmn (No. 59, origin choice 2)
Unique sites:
Cs  0.007  0.040  0.248
Cs  0.250  0.250  0.591
Al  0.250  0.750  0.369
O  0.062  0.750  0.244
O  0.250  0.580  0.490

Output
- Formation energy without anion corrections: -35.142 kcal/mol of atoms